! MoIrPt2, optimized geometry, DFT PBE; values from VASP
! - spin magnetization (Bohr magnetons per cell) = 0.00
! - electronic total energy (eV/atom) = -8.098
! - density (Mg/m³) = 18.44
! - energy of formation from the pure elements (meV/atom) = -154.4
&SYSTEM
  ibrav = 0, nat = 4, ntyp = 3
/
ATOMIC_SPECIES
Pt 195.08 Pt.upf
Mo 95.94 Mo.upf
Ir 192.22 Ir.upf
CELL_PARAMETERS angstrom
4.019 0.000 0.000
0.000 2.754 0.004
0.000 2.745 5.521
ATOMIC_POSITIONS crystal
Pt 0.000 0.496 0.505
Mo 0.500 0.750 0.750
Pt 0.000 0.004 0.995
Ir 0.500 0.250 0.250